# 1
PBE-GGA Dy2ErSb, relaxed; total magnetic moment = 0.00 μB per cell; polymorph energy (0 for the lowest one) = 24 kJ/mol of formula units
1.0
4.124 0.000 0.000
0.000 4.124 0.000
0.000 0.000 6.671
Dy Er Sb
2 1 1
Direct
0.000 0.000 0.765
0.000 0.000 0.235
0.500 0.500 0.500
0.500 0.500 0.000

# 2
PBE-GGA Dy5ErSb6, relaxed; total magnetic moment = 0.00 μB per cell
1.0
-6.553 3.147 2.154
-5.734 -4.639 -1.767
-2.331 -5.219 4.986
Dy Sb Er
5 6 1
Direct
0.500 0.167 0.666
0.500 0.500 0.000
0.500 0.833 0.334
0.000 0.667 0.667
0.000 0.333 0.333
0.249 0.585 0.332
0.250 0.249 0.000
0.249 0.917 0.668
0.751 0.415 0.668
0.751 0.083 0.332
0.750 0.751 0.000
0.000 0.000 0.000

What did we get for formation energy from raw total energies? Answer: -46.5; -108.6 kJ/mol of atoms, in the order shown.